The following is a DFT calculation (GGA-PBE) of crystalline Ba2Cd3InBi4 at its relaxed geometry.

Geometry as extended XYZ:
```
10
Lattice="5.116 0.000 0.000 0.000 5.116 0.000 0.000 0.000 13.333" Properties=species:S:1:pos:R:3 pbc="T T T"
Ba 0.000 2.558 3.153
Ba 2.558 0.000 10.180
Cd 0.000 2.558 11.568
Cd 2.558 0.000 1.764
Cd 2.558 2.558 6.666
In 0.000 0.000 6.666
Bi 0.000 0.000 0.000
Bi 0.000 2.558 8.612
Bi 2.558 0.000 4.720
Bi 2.558 2.558 0.000
```

Properties
Density, g/cm³: 7.4
Electronic total energy, eV/atom: -2.8328
Energy relative to the elements, eV per atom: -0.3475